Density functional theory data (meta-GGA SCAN) for CoReTeI2 at its PBEsol-relaxed geometry. Values from VASP.

## Properties
Crystal system   tetragonal
Total DFT energy (no corrections)   -192.77 eV per cell
V   29.921 Å³ per atom
Formation energy without anion corrections   1.27 eV/atom

The structure in Quantum ESPRESSO input format:
```
&SYSTEM
  ibrav = 0, nat = 5, ntyp = 4
/
ATOMIC_SPECIES
Re 186.21 Re.upf
Co 58.93 Co.upf
Te 127.60 Te.upf
I 126.90 I.upf
CELL_PARAMETERS angstrom
-2.9167 0.2635 -4.0612
-1.6483 -5.1419 0.8502
-4.1259 1.8322 3.0821
ATOMIC_POSITIONS crystal
Re 0.0000 0.0000 0.0000
Co 0.5000 0.5000 0.5000
Te 0.5000 0.0000 0.0000
I 0.0000 0.5000 0.0000
I 0.0000 0.0000 0.5000
```



Density functional theory data (meta-GGA SCAN) for CoRhI3 at its PBEsol-relaxed geometry. Values from VASP.

## Properties
Crystal system   cubic
Total DFT energy (no corrections)   -157.12 eV per cell
V   26.227 Å³ per atom
Formation energy without anion corrections   0.84 eV/atom

The structure in Quantum ESPRESSO input format:
```
&SYSTEM
  ibrav = 0, nat = 5, ntyp = 3
/
ATOMIC_SPECIES
I 126.90 I.upf
Co 58.93 Co.upf
Rh 102.91 Rh.upf
CELL_PARAMETERS angstrom
5.0805 0.0000 0.0000
0.0000 5.0805 0.0000
0.0000 0.0000 5.0805
ATOMIC_POSITIONS crystal
I 0.0000 0.0000 0.5000
I 0.5000 0.0000 0.0000
I 0.0000 0.5000 0.0000
Co 0.0000 0.0000 0.0000
Rh 0.5000 0.5000 0.5000
```



Density functional theory data (meta-GGA SCAN) for CoSI2 at its PBEsol-relaxed geometry. Values from VASP.

## Properties
Crystal system   tetragonal
Total DFT energy (no corrections)   -195.82 eV per cell
V   25.498 Å³ per atom
Formation energy without anion corrections   0.63 eV/atom

The structure in Quantum ESPRESSO input format:
```
&SYSTEM
  ibrav = 0, nat = 8, ntyp = 3
/
ATOMIC_SPECIES
I 126.90 I.upf
S 32.06 S.upf
Co 58.93 Co.upf
CELL_PARAMETERS angstrom
6.5406 0.0416 -0.0602
-3.0864 5.7667 0.0602
3.0864 2.0958 5.3727
ATOMIC_POSITIONS crystal
I 0.9419 0.3169 0.1250
S 0.5000 0.7500 0.7500
I 0.0581 0.9331 0.6250
S 0.0000 0.5000 0.5000
I 0.5581 0.6250 0.3169
I 0.4419 0.1250 0.9331
Co 0.5000 0.2500 0.2500
Co 0.0000 0.0000 0.0000
```



Density functional theory data (meta-GGA SCAN) for CoSbI3 at its PBEsol-relaxed geometry. Values from VASP.

## Properties
Crystal system   cubic
Total DFT energy (no corrections)   -163.14 eV per cell
V   26.470 Å³ per atom
Formation energy without anion corrections   0.33 eV/atom

The structure in Quantum ESPRESSO input format:
```
&SYSTEM
  ibrav = 0, nat = 5, ntyp = 3
/
ATOMIC_SPECIES
I 126.90 I.upf
Sb 121.76 Sb.upf
Co 58.93 Co.upf
CELL_PARAMETERS angstrom
-2.2295 -3.7850 -2.5833
2.3009 -3.4091 3.0091
-3.9630 0.1501 3.2003
ATOMIC_POSITIONS crystal
I 0.5000 0.0000 0.0000
I 0.0000 0.0000 0.5000
I 0.0000 0.5000 0.0000
Sb 0.5000 0.5000 0.5000
Co 0.0000 0.0000 0.0000
```



Density functional theory data (meta-GGA SCAN) for TaCoSb2I at its PBEsol-relaxed geometry. Values from VASP.

## Properties
Crystal system   tetragonal
Total DFT energy (no corrections)   -190.13 eV per cell
V   30.275 Å³ per atom
Formation energy without anion corrections   1.00 eV/atom

The structure in Quantum ESPRESSO input format:
```
&SYSTEM
  ibrav = 0, nat = 5, ntyp = 4
/
ATOMIC_SPECIES
Sb 121.76 Sb.upf
I 126.90 I.upf
Ta 180.95 Ta.upf
Co 58.93 Co.upf
CELL_PARAMETERS angstrom
5.3170 0.0000 0.0000
0.0000 5.3170 0.0000
0.0000 0.0000 5.3545
ATOMIC_POSITIONS crystal
Sb 0.5000 0.0000 0.0000
I 0.0000 0.0000 0.5000
Sb 0.0000 0.5000 0.0000
Ta 0.0000 0.0000 0.0000
Co 0.5000 0.5000 0.5000
```



Density functional theory data (meta-GGA SCAN) for CoTcSbI2 at its PBEsol-relaxed geometry. Values from VASP.

## Properties
Crystal system   tetragonal
Total DFT energy (no corrections)   -157.50 eV per cell
V   28.830 Å³ per atom
Formation energy without anion corrections   1.12 eV/atom

The structure in Quantum ESPRESSO input format:
```
&SYSTEM
  ibrav = 0, nat = 5, ntyp = 4
/
ATOMIC_SPECIES
I 126.90 I.upf
Tc 98.00 Tc.upf
Sb 121.76 Sb.upf
Co 58.93 Co.upf
CELL_PARAMETERS angstrom
-1.0936 -0.7690 4.8150
-4.8946 -1.7225 -1.3867
1.8731 -5.0196 -0.3763
ATOMIC_POSITIONS crystal
I 0.0000 0.0000 0.5000
Tc 0.0000 0.0000 0.0000
Sb 0.5000 0.0000 0.0000
I 0.0000 0.5000 0.0000
Co 0.5000 0.5000 0.5000
```



Density functional theory data (meta-GGA SCAN) for ZrCoSb2I at its PBEsol-relaxed geometry. Values from VASP.

## Properties
Crystal system   tetragonal
Total DFT energy (no corrections)   -156.53 eV per cell
V   23.749 Å³ per atom
Formation energy without anion corrections   0.55 eV/atom

The structure in Quantum ESPRESSO input format:
```
&SYSTEM
  ibrav = 0, nat = 5, ntyp = 4
/
ATOMIC_SPECIES
Sb 121.76 Sb.upf
Zr 91.22 Zr.upf
Co 58.93 Co.upf
I 126.90 I.upf
CELL_PARAMETERS angstrom
-3.8293 -2.2623 -1.8660
2.2126 -0.2147 -4.2804
2.0367 -4.5022 1.2787
ATOMIC_POSITIONS crystal
Sb 0.0000 0.5000 0.0000
Sb 0.5000 0.0000 0.0000
Zr 0.5000 0.5000 0.5000
Co 0.0000 0.0000 0.0000
I 0.0000 0.0000 0.5000
```



Density functional theory data (meta-GGA SCAN) for ScCoTe2I at its PBEsol-relaxed geometry. Values from VASP.

## Properties
Crystal system   tetragonal
Total DFT energy (no corrections)   -141.55 eV per cell
V   32.979 Å³ per atom
Formation energy without anion corrections   0.25 eV/atom

The structure in Quantum ESPRESSO input format:
```
&SYSTEM
  ibrav = 0, nat = 5, ntyp = 4
/
ATOMIC_SPECIES
Te 127.60 Te.upf
Sc 44.96 Sc.upf
Co 58.93 Co.upf
I 126.90 I.upf
CELL_PARAMETERS angstrom
-0.6815 2.4854 -4.8466
-4.7464 -2.6669 -0.7002
-2.6636 4.0914 2.4727
ATOMIC_POSITIONS crystal
Te 0.5000 0.0000 0.0000
Sc 0.0000 0.0000 0.0000
Co 0.5000 0.5000 0.5000
Te 0.0000 0.5000 0.0000
I 0.0000 0.0000 0.5000
```